[1]
ZnIn2Ir: optimized geometry, PBE.

Summary:
- magnetic moment (μB/atom) = 0.001
- crystal system = cubic
- electronic total energy (eV per atom) = -3.664

a = 4.7054 Å, b = 4.7054 Å, c = 4.7054 Å
α = 60.00°, β = 60.00°, γ = 60.00°
Element x y z (fractional)
Zn1 0.2500 0.2500 0.2500
In1 0.0000 0.0000 0.0000
Ir1 0.5000 0.5000 0.5000
In2 0.7500 0.7500 0.7500

***

[2]
SrPuAl: optimized geometry, PBE.

Summary:
- magnetic moment (μB/atom) = 2.037
- energy above the lowest structure with this stoichiometry (meV per atom) = 0.0
- crystal system = cubic
- electronic total energy (eV per atom) = -6.203

a = 5.3782 Å, b = 5.3782 Å, c = 5.3782 Å
α = 60.00°, β = 60.00°, γ = 60.00°
Site moments in Bohr magnetons follow the coordinates.
Element x y z (fractional)
Pu1 0.2500 0.2500 0.2500  5.57
Al1 0.0000 0.0000 0.0000  -0.02
Sr1 0.7500 0.7500 0.7500  0.03

***

[3]
U2Fe15Ge2: optimized geometry, PBE.

Summary:
- magnetic moment (μB/atom) = 1.470
- crystal system = hexagonal
- electronic total energy (eV per atom) = -8.248

a = 8.2992 Å, b = 8.2994 Å, c = 8.5036 Å
α = 90.00°, β = 90.00°, γ = 120.00°
Site moments in Bohr magnetons follow the coordinates.
Element x y z (fractional)
Fe1 0.3312 0.3480 0.2500  2.26
Fe2 0.6687 0.0166 0.7500  2.26
Fe3 0.8355 0.1645 0.4906  2.16
Fe4 0.9832 0.3311 0.7500  2.27
Fe5 0.3290 0.1645 0.4906  2.17
Fe6 0.1645 0.3290 0.9906  2.17
Fe7 0.1645 0.3290 0.5094  2.17
Fe8 0.6710 0.8355 0.5094  2.17
Fe9 0.5000 0.0000 0.0000  2.05
Ge1 0.6667 0.3334 0.6015  -0.05
Fe10 0.8355 0.6710 0.0094  2.17
U1 0.3333 0.6666 0.7500  -2.05
U2 0.0000 0.0000 0.7500  -2.19
Fe11 0.8355 0.6710 0.4906  2.17
U3 0.0000 0.0000 0.2500  -2.19
Fe12 0.3290 0.1645 0.0094  2.18
Fe13 0.6522 0.9834 0.2500  2.29
Fe14 0.0168 0.6689 0.2500  2.27
Fe15 0.5000 0.0000 0.5000  2.05
Ge2 0.3333 0.6666 0.3985  -0.05
Fe16 0.8355 0.1645 0.0094  2.16
Fe17 0.5000 0.5000 0.0000  2.05
U4 0.6667 0.3334 0.2500  -2.05
Fe18 0.0167 0.3480 0.2500  2.28
Fe19 0.6710 0.8355 0.9906  2.18
Fe20 0.5000 0.5000 0.5000  2.05
Fe21 0.3478 0.0166 0.7500  2.29
Fe22 0.0000 0.5000 0.0000  2.04
Fe23 0.1645 0.8355 0.5094  2.16
Ge3 0.6667 0.3334 0.8985  -0.05
Fe24 0.9833 0.6520 0.7500  2.28
Fe25 0.3313 0.9834 0.2500  2.26
Fe26 0.3479 0.3311 0.7500  2.28
Ge4 0.3333 0.6666 0.1015  -0.05
Fe27 0.1645 0.8355 0.9906  2.16
Fe28 0.6688 0.6520 0.7500  2.26
Fe29 0.6521 0.6689 0.2500  2.28
Fe30 0.0000 0.5000 0.5000  2.04

***

[4]
Nb4ZnSnC2: optimized geometry, PBE.

Summary:
- magnetic moment (μB/atom) = 0.001
- crystal system = hexagonal
- electronic total energy (eV per atom) = -8.386

a = 3.2111 Å, b = 3.2111 Å, c = 13.8493 Å
α = 90.00°, β = 90.00°, γ = 120.00°
Element x y z (fractional)
Nb1 0.6667 0.3333 0.3304
Nb2 0.3333 0.6667 0.8402
Zn1 0.6667 0.3333 0.0000
C1 0.0000 0.0000 0.2432
Nb3 0.6667 0.3333 0.6696
C2 0.0000 0.0000 0.7568
Nb4 0.3333 0.6667 0.1598
Sn1 0.3333 0.6667 0.5000

***

[5]
LiHfGeAu: optimized geometry, PBE.

Summary:
- magnetic moment (μB/atom) = 0.000
- energy above the lowest structure with this stoichiometry (meV per atom) = 401.7
- crystal system = cubic
- electronic total energy (eV per atom) = -5.003

a = 4.6350 Å, b = 4.6350 Å, c = 4.6350 Å
α = 60.00°, β = 60.00°, γ = 60.00°
Element x y z (fractional)
Ge1 0.5000 0.5000 0.5000
Hf1 0.0000 0.0000 0.0000
Au1 0.2500 0.2500 0.2500
Li1 0.7500 0.7500 0.7500

***

[6]
LiTaCu2S4: optimized geometry, PBE.

Summary:
- magnetic moment (μB/atom) = 0.000
- crystal system = orthorhombic
- electronic total energy (eV per atom) = -5.488

a = 7.4374 Å, b = 9.6703 Å, c = 9.6703 Å
α = 146.39°, β = 90.00°, γ = 90.00°
Element x y z (fractional)
Li1 0.7500 0.7257 0.3806
S1 0.4989 0.8150 0.6063
Cu1 0.2500 0.0726 0.8567
Cu2 0.5000 0.4772 0.4772
S2 0.2500 0.4188 0.0015
Ta1 0.7500 0.3486 0.5731
Cu3 0.7500 0.8567 0.0726
S3 0.7500 0.2177 0.2338
S4 0.9989 0.6063 0.8150
S5 0.0011 0.8150 0.6063
Ta2 0.2500 0.5731 0.3486
S6 0.2500 0.2338 0.2177
Li2 0.2500 0.3806 0.7257
S7 0.5011 0.6063 0.8150
S8 0.7500 0.0015 0.4188
Cu4 0.0000 0.4772 0.4772

***

[7]
Zr3Sn3W2N12: optimized geometry, PBE.

Summary:
- magnetic moment (μB/atom) = 0.000
- crystal system = cubic
- electronic total energy (eV per atom) = -8.454

a = 10.9015 Å, b = 10.9015 Å, c = 10.9015 Å
α = 109.47°, β = 109.47°, γ = 109.47°
Element x y z (fractional)
N1 0.3305 0.9115 0.2895
Sn1 0.3750 0.2500 0.6250
N2 0.4589 0.3780 0.2895
N3 0.1695 0.4589 0.5810
N4 0.2895 0.4589 0.3780
N5 0.5810 0.1695 0.4589
N6 0.1220 0.0411 0.2105
N7 0.8305 0.5411 0.4190
Zr1 0.6250 0.8750 0.7500
Sn2 0.6250 0.7500 0.3750
Zr2 0.3750 0.7500 0.1250
Sn3 0.1250 0.8750 0.2500
N8 0.5411 0.4190 0.8305
Zr3 0.6250 0.2500 0.8750
Zr4 0.7500 0.1250 0.3750
N9 0.6695 0.0810 0.9589
Zr5 0.7500 0.6250 0.8750
N10 0.1220 0.5810 0.9115
Sn4 0.7500 0.8750 0.1250
N11 0.9589 0.7895 0.8780
N12 0.6220 0.7105 0.5411
Zr6 0.2500 0.3750 0.1250
Sn5 0.6250 0.3750 0.2500
N13 0.2895 0.3305 0.9115
N14 0.2105 0.1220 0.0411
N15 0.6695 0.0885 0.7105
Zr7 0.2500 0.8750 0.6250
N16 0.4115 0.0810 0.6220
W1 0.0000 0.5000 0.0000
N17 0.0810 0.9589 0.6695
Sn6 0.2500 0.6250 0.3750
N18 0.4115 0.8305 0.7895
N19 0.0810 0.6220 0.4115
Sn7 0.2500 0.1250 0.8750
N20 0.5810 0.9115 0.1220
W2 0.0000 0.5000 0.5000
N21 0.9115 0.2895 0.3305
N22 0.2105 0.5885 0.1695
N23 0.5411 0.6220 0.7105
W3 0.0000 0.0000 0.5000
Zr8 0.8750 0.6250 0.2500
N24 0.3780 0.5885 0.9190
W4 0.0000 0.0000 0.0000
N25 0.7895 0.4115 0.8305
N26 0.0885 0.7105 0.6695
Sn8 0.7500 0.3750 0.6250
Sn9 0.8750 0.1250 0.7500
N27 0.9589 0.6695 0.0810
W5 0.5000 0.0000 0.0000
N28 0.5885 0.1695 0.2105
N29 0.7105 0.6695 0.0885
N30 0.3780 0.2895 0.4589
N31 0.7895 0.8780 0.9589
N32 0.8305 0.7895 0.4115
N33 0.6220 0.4115 0.0810
N34 0.5885 0.9190 0.3780
Sn10 0.1250 0.7500 0.8750
N35 0.9115 0.1220 0.5810
Zr9 0.8750 0.7500 0.6250
Sn11 0.3750 0.6250 0.7500
W6 0.5000 0.5000 0.5000
N36 0.4589 0.5810 0.1695
W7 0.5000 0.5000 0.0000
Zr10 0.1250 0.3750 0.7500
W8 0.5000 0.0000 0.5000
N37 0.9190 0.0411 0.3305
Zr11 0.1250 0.2500 0.3750
Sn12 0.8750 0.2500 0.1250
N38 0.0411 0.2105 0.1220
N39 0.1695 0.2105 0.5885
N40 0.0411 0.3305 0.9190
N41 0.3305 0.9190 0.0411
N42 0.8780 0.4190 0.0885
N43 0.9190 0.3780 0.5885
N44 0.8780 0.9589 0.7895
N45 0.4190 0.0885 0.8780
N46 0.0885 0.8780 0.4190
Zr12 0.3750 0.1250 0.2500
N47 0.4190 0.8305 0.5411
N48 0.7105 0.5411 0.6220

***

[8]
FeMo4AuC2: optimized geometry, PBE.

Summary:
- magnetic moment (μB/atom) = 0.202
- crystal system = hexagonal
- electronic total energy (eV per atom) = -9.079

a = 3.0386 Å, b = 3.0386 Å, c = 13.4537 Å
α = 90.00°, β = 90.00°, γ = 120.00°
Site moments in Bohr magnetons follow the coordinates.
Element x y z (fractional)
C1 0.3333 0.6667 0.2605  0.00
Mo1 0.0000 0.0000 0.6515  -0.14
Mo2 0.6667 0.3333 0.1760  -0.09
Mo3 0.6667 0.3333 0.8240  -0.08
Mo4 0.0000 0.0000 0.3485  -0.14
C2 0.3333 0.6667 0.7395  0.00
Au1 0.0000 0.0000 0.0000  -0.01
Fe1 0.6667 0.3333 0.5000  2.13

***

[9]
Na2CoCl6: optimized geometry, PBE.

Summary:
- magnetic moment (μB/atom) = 0.111
- crystal system = tetragonal
- electronic total energy (eV per atom) = -3.278

a = 6.6094 Å, b = 6.6094 Å, c = 6.6094 Å
α = 120.06°, β = 120.06°, γ = 89.90°
Site moments in Bohr magnetons follow the coordinates.
Element x y z (fractional)
Co1 0.0000 0.0000 0.0000  0.81
Cl1 0.7610 0.7610 0.5219  0.02
Cl2 0.2387 0.2387 0.0000  0.02
Cl3 0.2390 0.2390 0.4781  0.02
Na1 0.7500 0.2500 0.5000  0.00
Na2 0.2500 0.7500 0.5000  0.00
Cl4 0.7613 0.7613 0.0000  0.02
Cl5 0.2390 0.7610 0.0000  0.02
Cl6 0.7610 0.2390 0.0000  0.02

***

[10]
LaErAg2: optimized geometry, PBE.

Summary:
- magnetic moment (μB/atom) = 0.032
- crystal system = tetragonal
- electronic total energy (eV per atom) = -4.092

a = 3.6372 Å, b = 3.6372 Å, c = 7.6152 Å
α = 90.00°, β = 90.00°, γ = 90.00°
Site moments in Bohr magnetons follow the coordinates.
Element x y z (fractional)
Er1 0.0000 0.0000 0.0000  -0.01
La1 0.0000 0.0000 0.5000  0.09
Ag1 0.5000 0.5000 0.2201  0.00
Ag2 0.5000 0.5000 0.7799  0.00

***

[11]
CsErPb: optimized geometry, PBE.

Summary:
- magnetic moment (μB/atom) = 0.000
- energy above the lowest structure with this stoichiometry (meV per atom) = 540.5
- crystal system = cubic
- electronic total energy (eV per atom) = -2.189

a = 5.5703 Å, b = 5.5703 Å, c = 5.5703 Å
α = 60.00°, β = 60.00°, γ = 60.00°
Element x y z (fractional)
Cs1 0.0000 0.0000 0.0000
Er1 0.7500 0.7500 0.7500
Pb1 0.2500 0.2500 0.2500

***

[12]
CoHgPbS3: optimized geometry, PBE.

Summary:
- magnetic moment (μB/atom) = 0.001
- energy above the lowest structure with this stoichiometry (meV per atom) = 0.0
- crystal system = orthorhombic
- electronic total energy (eV per atom) = -4.083

a = 8.2506 Å, b = 8.2506 Å, c = 9.2685 Å
α = 90.00°, β = 90.00°, γ = 154.95°
Element x y z (fractional)
S1 0.9671 0.0329 0.2500
S2 0.5874 0.4126 0.4749
S3 0.0329 0.9671 0.7500
S4 0.4126 0.5874 0.5251
Co1 0.0000 0.0000 0.5000
S5 0.5874 0.4126 0.0251
S6 0.4126 0.5874 0.9749
Hg1 0.6824 0.3176 0.2500
Pb1 0.3410 0.6590 0.2500
Co2 0.0000 0.0000 0.0000
Hg2 0.3176 0.6824 0.7500
Pb2 0.6590 0.3410 0.7500

***

[13]
KP2Au4: optimized geometry, PBE.

Summary:
- crystal system = trigonal
- electronic total energy (eV per atom) = -3.632

a = 9.4447 Å, b = 9.4447 Å, c = 9.4447 Å
α = 26.96°, β = 26.96°, γ = 26.96°
Element x y z (fractional)
Au1 0.1467 0.1467 0.1467
Au2 0.4264 0.4264 0.4264
Au3 0.5736 0.5736 0.5736
Au4 0.8533 0.8533 0.8533
P1 0.2436 0.2436 0.2436
K1 0.0000 0.0000 0.0000
P2 0.7564 0.7564 0.7564

***

[14]
Dy2YB2Pd2N3: optimized geometry, PBE.

Summary:
- magnetic moment (μB/atom) = 0.002
- crystal system = tetragonal
- electronic total energy (eV per atom) = -7.600

a = 10.4575 Å, b = 10.4575 Å, c = 10.4575 Å
α = 159.96°, β = 159.96°, γ = 28.49°
Element x y z (fractional)
N1 0.5000 0.5000 0.0000
Pd1 0.2500 0.7500 0.5000
Dy1 0.6186 0.6186 0.0000
N2 0.1139 0.1139 0.0000
Dy2 0.3814 0.3814 0.0000
N3 0.8861 0.8861 0.0000
B1 0.8155 0.8155 0.0000
Pd2 0.7500 0.2500 0.5000
Y1 0.0000 0.0000 0.0000
B2 0.1845 0.1845 0.0000

***

[15]
Zn2Co3Ag3: optimized geometry, PBE.

Summary:
- magnetic moment (μB/atom) = 0.554
- energy above the lowest structure with this stoichiometry (meV per atom) = 0.0
- crystal system = orthorhombic
- electronic total energy (eV per atom) = -3.827

a = 4.3478 Å, b = 5.5762 Å, c = 5.5762 Å
α = 58.67°, β = 90.00°, γ = 90.00°
Site moments in Bohr magnetons follow the coordinates.
Element x y z (fractional)
Co1 0.5000 0.1617 0.1617  1.57
Ag1 0.5000 0.1759 0.6673  -0.01
Ag2 0.0000 0.8224 0.8224  -0.01
Co2 0.0000 0.8746 0.3124  1.57
Co3 0.0000 0.3124 0.8746  1.62
Zn1 0.5000 0.6585 0.6585  -0.04
Zn2 0.0000 0.3272 0.3272  -0.04
Ag3 0.5000 0.6673 0.1759  -0.02

***

[16]
LiPaOs: optimized geometry, PBE.

Summary:
- magnetic moment (μB/atom) = 0.000
- energy above the lowest structure with this stoichiometry (meV per atom) = 0.0
- crystal system = cubic
- electronic total energy (eV per atom) = -7.446

a = 4.4536 Å, b = 4.4536 Å, c = 4.4536 Å
α = 60.00°, β = 60.00°, γ = 60.00°
Element x y z (fractional)
Pa1 0.7500 0.7500 0.7500
Os1 0.0000 0.0000 0.0000
Li1 0.2500 0.2500 0.2500

***

[17]
DyHoW2C3: optimized geometry, PBE.

Summary:
- magnetic moment (μB/atom) = 0.001
- crystal system = monoclinic
- electronic total energy (eV per atom) = -9.318

a = 6.1318 Å, b = 6.1318 Å, c = 5.7070 Å
α = 111.61°, β = 111.61°, γ = 31.39°
Element x y z (fractional)
C1 0.2489 0.2489 0.7355
W1 0.1554 0.1554 0.3262
W2 0.8445 0.8445 0.6737
C2 0.0002 0.0002 0.9991
Dy1 0.3900 0.3900 0.1801
C3 0.7505 0.7505 0.2642
Ho1 0.6104 0.6104 0.8212

***

[18]
TbMgAuSeS2: optimized geometry, PBE.

Summary:
- magnetic moment (μB/atom) = 0.001
- crystal system = orthorhombic
- electronic total energy (eV per atom) = -4.674

a = 7.0381 Å, b = 7.0381 Å, c = 10.6864 Å
α = 90.00°, β = 90.00°, γ = 146.92°
Element x y z (fractional)
S1 0.1375 0.8625 0.0327
Au1 0.8599 0.1401 0.7500
S2 0.8625 0.1375 0.5327
Au2 0.1401 0.8599 0.2500
Mg1 0.7935 0.2065 0.2500
Se1 0.4149 0.5851 0.2500
Mg2 0.2065 0.7935 0.7500
Tb1 0.5000 0.5000 0.5000
S3 0.1375 0.8625 0.4673
S4 0.8625 0.1375 0.9673
Se2 0.5851 0.4149 0.7500
Tb2 0.5000 0.5000 0.0000

***

[19]
MgZnGaFe: optimized geometry, PBE.

Summary:
- magnetic moment (μB/atom) = 0.386
- energy above the lowest structure with this stoichiometry (meV per atom) = 0.0
- crystal system = cubic
- electronic total energy (eV per atom) = -3.465

a = 4.3058 Å, b = 4.3058 Å, c = 4.3058 Å
α = 60.00°, β = 60.00°, γ = 60.00°
Site moments in Bohr magnetons follow the coordinates.
Element x y z (fractional)
Ga1 0.2500 0.2500 0.2500  -0.05
Zn1 0.7500 0.7500 0.7500  -0.02
Fe1 0.0000 0.0000 0.0000  1.64
Mg1 0.5000 0.5000 0.5000  -0.01

***

[20]
Er2GaGe: optimized geometry, PBE.

Summary:
- magnetic moment (μB/atom) = 0.002
- crystal system = monoclinic
- electronic total energy (eV per atom) = -4.975

a = 5.7494 Å, b = 3.9589 Å, c = 8.3571 Å
α = 90.00°, β = 107.73°, γ = 90.00°
Element x y z (fractional)
Er1 0.2889 0.7500 0.5684
Ga1 0.6282 0.2500 0.7912
Er2 0.7940 0.7500 0.0723
Ge1 0.8685 0.7500 0.7086
Er3 0.2060 0.2500 0.9277
Ge2 0.1315 0.2500 0.2914
Ga2 0.3718 0.7500 0.2088
Er4 0.7111 0.2500 0.4316